1.
TaSiS4: optimized geometry, PBE.

VASP energy	-0.4599	Ry/atom
uncorrected formation energy	-627	meV/atom
SG	P222 (16)
D(E_F)	5.64	states/eV per cell

abc: 6.0186 6.0114 11.4208
angles: 90.00 90.00 90.00
Each line ends with the local moment (μB).
Element x y z (fractional)
1 Ta 0.0000 0.0000 0.0000  0.09
2 Ta 0.5000 0.0000 0.5000  0.08
3 Si 0.0000 0.5000 0.0000  0.01
4 Si 0.0000 0.0000 0.5000  0.01
5 S 0.1970 0.2675 0.1039  0.00
6 S 0.1970 0.7325 0.8961  0.00
7 S 0.8030 0.2675 0.8961  0.00
8 S 0.8030 0.7325 0.1039  0.00
9 S 0.7672 0.8029 0.6040  0.00
10 S 0.7672 0.1971 0.3960  0.00
11 S 0.2328 0.8029 0.3960  0.00
12 S 0.2328 0.1971 0.6040  0.00

---

2.
Dy3ErN: optimized geometry, PBE.

VASP energy	-0.4312	Ry/atom
uncorrected formation energy	-528	meV/atom
SG	Pm-3m (221)
D(E_F)	5.95	states/eV per cell

abc: 4.9496 4.9496 4.9496
angles: 90.00 90.00 90.00
Element x y z (fractional)
1 N 0.0000 0.0000 0.0000
2 Dy 0.0000 0.5000 0.0000
3 Dy 0.0000 0.0000 0.5000
4 Dy 0.5000 0.0000 0.0000
5 Er 0.5000 0.5000 0.5000

---

3.
BeRuW2: optimized geometry, PBE.

VASP energy	-0.6946	Ry/atom
SG	R-3m (166)
D(E_F)	3.25	states/eV per cell
energy above the lowest structure with this stoichiometry	0.246	eV per atom
energy of formation	0.276	eV/atom

abc: 8.7634 8.7634 8.7634
angles: 18.17 18.17 18.17
Element x y z (fractional)
1 Ru 0.7500 0.7500 0.7500
2 W 0.9965 0.9965 0.9965
3 W 0.5035 0.5035 0.5035
4 Be 0.2500 0.2500 0.2500

---

4.
Sr2Sc: optimized geometry, PBE.

VASP energy	-0.1918	Ry/atom
SG	P6_3/mmc (194)
D(E_F)	22.71	states/eV per cell
energy above the lowest structure with this stoichiometry	0.407	eV per atom
energy of formation	0.622	eV/atom

abc: 7.5020 7.5020 10.4698
angles: 90.00 90.00 120.00
Each line ends with the local moment (μB).
Element x y z (fractional)
1 Sc 0.3333 0.6667 0.0919  0.60
2 Sc 0.6667 0.3333 0.5919  0.60
3 Sc 0.6667 0.3333 0.9081  0.60
4 Sc 0.3333 0.6667 0.4081  0.60
5 Sr 0.0000 0.0000 0.0000  -0.02
6 Sr 0.0000 0.0000 0.5000  -0.02
7 Sr 0.8214 0.6427 0.2500  0.06
8 Sr 0.1786 0.3573 0.7500  0.06
9 Sr 0.3573 0.1786 0.2500  0.06
10 Sr 0.8214 0.1786 0.2500  0.06
11 Sr 0.1786 0.8214 0.7500  0.06
12 Sr 0.6427 0.8214 0.7500  0.06